A geometry-optimized Mn3TeCl structure, computed with PBE-GGA.

The structure in CIF format:
```
data_Mn3TeCl
_cell_length_a 4.611
_cell_length_b 4.611
_cell_length_c 4.611
_cell_angle_alpha 90.00
_cell_angle_beta 90.00
_cell_angle_gamma 90.00
_symmetry_space_group_name_H-M 'P m -3 m'
_symmetry_Int_Tables_number 221
_symmetry_space_group_name_Hall '-P 4 2 3'
loop_
_atom_site_label
_atom_site_fract_x
_atom_site_fract_y
_atom_site_fract_z
_atom_site_occupancy
Mn1 0.000 0.000 0.500 1
Te1 0.500 0.500 0.500 1
Cl1 0.000 0.000 0.000 1
```

Summary:
Relative energy among the computed polymorphs = 0.0 meV/atom
E_form (uncorrected) = 13.50 kcal/mol of atoms